Version i
DyErHgAu after structural relaxation. Source: Alexandria via LeMat-Bulk, functional GGA-PBE.

Output
Its space-group type is No. 216.

Cell lengths 5.1545, 5.1545, 5.1545 Å; angles 60.00, 60.00, 60.00 degrees
Positions (direct):
Dy 0.0000 0.0000 0.0000
Er 0.5000 0.5000 0.5000
Hg 0.2500 0.2500 0.2500
Au 0.7500 0.7500 0.7500

***

Version ii
DyErHgAu after structural relaxation. Source: Alexandria via LeMat-Bulk, functional GGA-PBE.

Output
Its space-group type is No. 99.

Cell lengths 3.6568, 3.6568, 7.2428 Å; angles 90.00, 90.00, 90.00 degrees
Positions (direct):
Dy 0.0000 0.0000 0.0000
Er 0.0000 0.0000 0.4781
Hg 0.5000 0.5000 0.7356
Au 0.5000 0.5000 0.2446

***

Stability summary: most stable version ii, least stable version i.

***

Version i
DyErNiAu after structural relaxation. Source: Alexandria via LeMat-Bulk, functional GGA-PBE.

Output
Its space-group type is No. 216.

Cell lengths 4.9312, 4.9312, 4.9312 Å; angles 60.00, 60.00, 60.00 degrees
Positions (direct):
Dy 0.0000 0.0000 0.0000
Er 0.5000 0.5000 0.5000
Ni 0.2500 0.2500 0.2500
Au 0.7500 0.7500 0.7500

***

Version ii
DyErNiAu after structural relaxation. Source: Alexandria via LeMat-Bulk, functional GGA-PBE.

Output
Its space-group type is No. 38.

Cell lengths 4.4813, 5.5650, 5.5650 Å; angles 39.20, 90.00, 90.00 degrees
Positions (direct):
Dy 0.0000 0.0000 0.0000
Er 0.5000 0.2801 0.2801
Ni 0.5000 0.5566 0.5566
Au 0.0000 0.7185 0.7185

***

Stability summary: most stable version ii, least stable version i.

***

Version i
EuDy2Au after structural relaxation. Source: Alexandria via LeMat-Bulk, functional GGA-PBE.

Output
Its space-group type is No. 123.

Cell lengths 3.6465, 3.6465, 8.9608 Å; angles 90.00, 90.00, 90.00 degrees
Positions (direct):
Eu 0.0000 0.0000 0.0000
Dy 0.5000 0.5000 0.3089
Dy 0.5000 0.5000 0.6911
Au 0.0000 0.0000 0.5000

***

Version ii
EuDy2Au after structural relaxation. Source: Alexandria via LeMat-Bulk, functional GGA-PBE.

Output
Its space-group type is No. 166.

Cell lengths 10.3832, 10.3832, 10.3832 Å; angles 21.22, 21.22, 21.22 degrees
Positions (direct):
Eu 0.0000 0.0000 0.0000
Dy 0.2305 0.2305 0.2305
Dy 0.7695 0.7695 0.7695
Au 0.5000 0.5000 0.5000

***

Stability summary: most stable version i, least stable version ii.

***

Version i
DyGaAu4 after structural relaxation. Source: Alexandria via LeMat-Bulk, functional GGA-PBE.

Output
Its space-group type is No. 12.

Cell lengths 5.1693, 5.1693, 9.2305 Å; angles 91.69, 91.69, 82.28 degrees
Positions (direct):
Dy 0.1863 0.1863 0.2989
Dy 0.8137 0.8137 0.7011
Ga 0.4108 0.4108 0.8503
Ga 0.5892 0.5892 0.1497
Au 0.0909 0.6703 0.1125
Au 0.2077 0.2077 0.6223
Au 0.2973 0.7027 0.5000
Au 0.3297 0.9091 0.8875
Au 0.6703 0.0909 0.1125
Au 0.7027 0.2973 0.5000
Au 0.7923 0.7923 0.3777
Au 0.9091 0.3297 0.8875

***

Version ii
DyGaAu4 after structural relaxation. Source: Alexandria via LeMat-Bulk, functional GGA-PBE.

Output
Its space-group type is No. 216.

Cell lengths 5.5748, 5.5748, 5.5748 Å; angles 60.00, 60.00, 60.00 degrees
Positions (direct):
Dy 0.0000 0.0000 0.0000
Ga 0.2500 0.2500 0.2500
Au 0.1254 0.6249 0.6249
Au 0.6249 0.1254 0.6249
Au 0.6249 0.6249 0.1254
Au 0.6249 0.6249 0.6249

***

Stability summary: most stable version i, least stable version ii.

***

Version i
DyGa2Au8 after structural relaxation. Source: Alexandria via LeMat-Bulk, functional GGA-PBE.

Output
Its space-group type is No. 12.

Cell lengths 7.1643, 7.1643, 4.5036 Å; angles 98.61, 98.61, 105.65 degrees
Positions (direct):
Dy 0.0000 0.0000 0.0000
Ga 0.3678 0.6322 0.5000
Ga 0.6322 0.3678 0.5000
Au 0.0391 0.3144 0.5613
Au 0.2573 0.7427 0.0000
Au 0.3144 0.0391 0.5613
Au 0.3411 0.3411 0.0561
Au 0.6589 0.6589 0.9439
Au 0.6856 0.9609 0.4387
Au 0.7427 0.2573 0.0000
Au 0.9609 0.6856 0.4387

***

Version ii
DyGa2Au8 after structural relaxation. Source: Alexandria via LeMat-Bulk, functional GGA-PBE.

Output
Its space-group type is No. 12.

Cell lengths 7.8489, 7.8489, 6.9894 Å; angles 106.08, 106.08, 29.88 degrees
Positions (direct):
Dy 0.0000 0.0000 0.0000
Ga 0.2774 0.2774 0.3383
Ga 0.7226 0.7226 0.6617
Au 0.1098 0.1098 0.4570
Au 0.1790 0.1790 0.8990
Au 0.3558 0.3558 0.8113
Au 0.4614 0.4614 0.2852
Au 0.5386 0.5386 0.7148
Au 0.6442 0.6442 0.1887
Au 0.8210 0.8210 0.1010
Au 0.8902 0.8902 0.5430

***

Stability summary: most stable version ii, least stable version i.

***

Version i
Dy2Ga3Au2 after structural relaxation. Source: Alexandria via LeMat-Bulk, functional GGA-PBE.

Output
Its space-group type is No. 63.

Cell lengths 9.6470, 9.6470, 7.2786 Å; angles 90.00, 90.00, 154.74 degrees
Positions (direct):
Dy 0.0568 0.9432 0.7500
Dy 0.1561 0.8439 0.2500
Dy 0.8439 0.1561 0.7500
Dy 0.9432 0.0568 0.2500
Ga 0.2269 0.7731 0.7500
Ga 0.4440 0.5560 0.5794
Ga 0.4440 0.5560 0.9206
Ga 0.5560 0.4440 0.0794
Ga 0.5560 0.4440 0.4206
Ga 0.7731 0.2269 0.2500
Au 0.3167 0.6833 0.0511
Au 0.3167 0.6833 0.4489
Au 0.6833 0.3167 0.5511
Au 0.6833 0.3167 0.9489

***

Version ii
Dy2Ga3Au2 after structural relaxation. Source: Alexandria via LeMat-Bulk, functional GGA-PBE.

Output
Its space-group type is No. 12.

Cell lengths 5.7201, 5.7201, 6.6969 Å; angles 111.40, 111.40, 44.93 degrees
Positions (direct):
Dy 0.1471 0.1471 0.2773
Dy 0.8529 0.8529 0.7227
Ga 0.4046 0.4046 0.0719
Ga 0.5000 0.5000 0.5000
Ga 0.5954 0.5954 0.9281
Au 0.1560 0.1560 0.7435
Au 0.8440 0.8440 0.2565

***

Stability summary: most stable version ii, least stable version i.

***

Version i
Dy2Ga5Au3 after structural relaxation. Source: Alexandria via LeMat-Bulk, functional GGA-PBE.

Output
Its space-group type is No. 36.

Cell lengths 12.7191, 12.7191, 7.0367 Å; angles 90.00, 90.00, 160.01 degrees
Positions (direct):
Dy 0.0169 0.9831 0.5000
Dy 0.3258 0.6742 0.5112
Dy 0.6742 0.3258 0.0112
Dy 0.9831 0.0169 0.0000
Ga 0.1045 0.8955 0.8381
Ga 0.2060 0.7940 0.7228
Ga 0.2072 0.7928 0.3137
Ga 0.3821 0.6179 0.9858
Ga 0.4501 0.5499 0.6766
Ga 0.5499 0.4501 0.1766
Ga 0.6179 0.3821 0.4858
Ga 0.7928 0.2072 0.8137
Ga 0.7940 0.2060 0.2228
Ga 0.8955 0.1045 0.3381
Au 0.1069 0.8931 0.2273
Au 0.2767 0.7233 0.0194
Au 0.4482 0.5518 0.2871
Au 0.5518 0.4482 0.7871
Au 0.7233 0.2767 0.5194
Au 0.8931 0.1069 0.7273

***

Version ii
Dy2Ga5Au3 after structural relaxation. Source: Alexandria via LeMat-Bulk, functional GGA-PBE.

Output
Its space-group type is No. 72.

Cell lengths 8.6573, 8.6573, 8.6573 Å; angles 100.94, 93.11, 139.11 degrees
Positions (direct):
Dy 0.1242 0.2460 0.3702
Dy 0.3758 0.7460 0.1219
Dy 0.6242 0.2540 0.8781
Dy 0.8758 0.7540 0.6298
Ga 0.0078 0.7500 0.2578
Ga 0.1209 0.6423 0.7632
Ga 0.2500 0.2500 0.0000
Ga 0.3791 0.1423 0.5214
Ga 0.4922 0.7500 0.7422
Ga 0.5078 0.2500 0.2578
Ga 0.6209 0.8577 0.4786
Ga 0.7500 0.7500 0.0000
Ga 0.8791 0.3577 0.2368
Ga 0.9922 0.2500 0.7422
Au 0.1303 0.8663 0.9966
Au 0.2500 0.7500 0.5000
Au 0.3697 0.3663 0.7360
Au 0.6303 0.6337 0.2640
Au 0.7500 0.2500 0.5000
Au 0.8697 0.1337 0.0034

***

Stability summary: most stable version i, least stable version ii.

***

Version i
Dy3Ga8Au3 after structural relaxation. Source: Alexandria via LeMat-Bulk, functional GGA-PBE.

Output
Its space-group type is No. 71.

Cell lengths 8.3101, 8.3101, 8.3101 Å; angles 149.77, 108.95, 79.12 degrees
Positions (direct):
Dy 0.0000 0.0000 0.0000
Dy 0.3079 0.3079 0.0000
Dy 0.6921 0.6921 0.0000
Ga 0.0344 0.6628 0.3716
Ga 0.1392 0.8587 0.2804
Ga 0.2913 0.6628 0.6284
Ga 0.4217 0.1413 0.2804
Ga 0.5783 0.8587 0.7196
Ga 0.7087 0.3372 0.3716
Ga 0.8608 0.1413 0.7196
Ga 0.9656 0.3372 0.6284
Au 0.2911 0.5000 0.7911
Au 0.5000 0.0000 0.5000
Au 0.7089 0.5000 0.2089

***

Version ii
Dy3Ga8Au3 after structural relaxation. Source: Alexandria via LeMat-Bulk, functional GGA-PBE.

Output
Its space-group type is No. 12.

Cell lengths 8.2342, 8.2342, 9.9730 Å; angles 126.25, 126.25, 30.66 degrees
Positions (direct):
Dy 0.0000 0.0000 0.0000
Dy 0.3074 0.3074 0.3188
Dy 0.6926 0.6926 0.6812
Ga 0.1422 0.1422 0.4238
Ga 0.1483 0.1483 0.8749
Ga 0.3408 0.3408 0.9588
Ga 0.4902 0.4902 0.2987
Ga 0.5098 0.5098 0.7013
Ga 0.6592 0.6592 0.0412
Ga 0.8517 0.8517 0.1251
Ga 0.8578 0.8578 0.5762
Au 0.0000 0.0000 0.5000
Au 0.3478 0.3478 0.7093
Au 0.6522 0.6522 0.2907

***

Stability summary: most stable version ii, least stable version i.

***

Version i
PmDyGaAu after structural relaxation. Source: Alexandria via LeMat-Bulk, functional GGA-PBE.

Output
Its space-group type is No. 38.

Cell lengths 4.5694, 5.9742, 5.9742 Å; angles 37.74, 90.00, 90.00 degrees
Positions (direct):
Pm 0.0000 0.0000 0.0000
Dy 0.5000 0.7141 0.7141
Ga 0.0000 0.2704 0.2704
Au 0.5000 0.4294 0.4294

***

Version ii
PmDyGaAu after structural relaxation. Source: Alexandria via LeMat-Bulk, functional GGA-PBE.

Output
Its space-group type is No. 216.

Cell lengths 5.1703, 5.1703, 5.1703 Å; angles 60.00, 60.00, 60.00 degrees
Positions (direct):
Pm 0.0000 0.0000 0.0000
Dy 0.5000 0.5000 0.5000
Ga 0.7500 0.7500 0.7500
Au 0.2500 0.2500 0.2500

***

Stability summary: most stable version i, least stable version ii.

***

Version i
PrDyGaAu after structural relaxation. Source: Alexandria via LeMat-Bulk, functional GGA-PBE.

Output
Its space-group type is No. 38.

Cell lengths 4.5613, 6.0712, 6.0712 Å; angles 37.30, 90.00, 90.00 degrees
Positions (direct):
Pr 0.0000 0.0000 0.0000
Dy 0.5000 0.2839 0.2839
Ga 0.5000 0.5708 0.5708
Au 0.0000 0.7271 0.7271

***

Version ii
PrDyGaAu after structural relaxation. Source: Alexandria via LeMat-Bulk, functional GGA-PBE.

Output
Its space-group type is No. 216.

Cell lengths 5.2106, 5.2106, 5.2106 Å; angles 60.00, 60.00, 60.00 degrees
Positions (direct):
Pr 0.0000 0.0000 0.0000
Dy 0.5000 0.5000 0.5000
Ga 0.2500 0.2500 0.2500
Au 0.7500 0.7500 0.7500

***

Stability summary: most stable version i, least stable version ii.

***

Version i
DyScGaAu after structural relaxation. Source: Alexandria via LeMat-Bulk, functional GGA-PBE.

Output
Its space-group type is No. 216.

Cell lengths 4.9556, 4.9556, 4.9556 Å; angles 60.00, 60.00, 60.00 degrees
Positions (direct):
Dy 0.0000 0.0000 0.0000
Sc 0.5000 0.5000 0.5000
Ga 0.7500 0.7500 0.7500
Au 0.2500 0.2500 0.2500

***

Version ii
DyScGaAu after structural relaxation. Source: Alexandria via LeMat-Bulk, functional GGA-PBE.

Output
Its space-group type is No. 99.

Cell lengths 3.4536, 3.4536, 7.1212 Å; angles 90.00, 90.00, 90.00 degrees
Positions (direct):
Dy 0.0000 0.0000 0.0000
Sc 0.0000 0.0000 0.4970
Ga 0.5000 0.5000 0.7298
Au 0.5000 0.5000 0.2796

***

Stability summary: most stable version ii, least stable version i.

***

Version i
DyThGaAu after structural relaxation. Source: Alexandria via LeMat-Bulk, functional GGA-PBE.

Output
Its space-group type is No. 216.

Cell lengths 5.1942, 5.1942, 5.1942 Å; angles 60.00, 60.00, 60.00 degrees
Positions (direct):
Dy 0.0000 0.0000 0.0000
Th 0.5000 0.5000 0.5000
Ga 0.2500 0.2500 0.2500
Au 0.7500 0.7500 0.7500

***

Version ii
DyThGaAu after structural relaxation. Source: Alexandria via LeMat-Bulk, functional GGA-PBE.

Output
Its space-group type is No. 38.

Cell lengths 4.4637, 5.9471, 5.9471 Å; angles 39.79, 90.00, 90.00 degrees
Positions (direct):
Dy 0.0000 0.0000 0.0000
Th 0.5000 0.7184 0.7184
Ga 0.0000 0.2835 0.2835
Au 0.5000 0.4433 0.4433

***

Stability summary: most stable version ii, least stable version i.